# 1
Density functional theory data (PBE) for a relaxed structure of ZnPbSO.

## Properties
Space-group type: P4/nmm, No. 129
Excess energy over the best structure of this formula in the dataset, meV/atom: 103.9

a = 4.018 Å, b = 4.018 Å, c = 10.673 Å
α = 90.00°, β = 90.00°, γ = 90.00°
Fractional positions:
Zn: 0.250 0.750 0.000
Zn: 0.750 0.250 0.000
Pb: 0.250 0.250 0.388
Pb: 0.750 0.750 0.612
S: 0.250 0.250 0.876
S: 0.750 0.750 0.124
O: 0.250 0.750 0.500
O: 0.750 0.250 0.500

***

# 2
Density functional theory data (PBE) for a relaxed structure of TmScZn2Sn2.

## Properties
Space-group type: P6_3/mmc, No. 194
Excess energy over the best structure of this formula in the dataset, meV/atom: 0.0
Spin magnetization, μB/atom: 0.0010

a = 4.446 Å, b = 4.446 Å, c = 15.073 Å
α = 90.00°, β = 90.00°, γ = 120.00°
Fractional positions:
Tm: 0.000 0.000 0.000
Tm: 0.000 0.000 0.500
Sc: 0.000 0.000 0.250
Sc: 0.000 0.000 0.750
Zn: 0.333 0.667 0.163
Zn: 0.333 0.667 0.337
Zn: 0.667 0.333 0.663
Zn: 0.667 0.333 0.837
Sn: 0.333 0.667 0.615
Sn: 0.333 0.667 0.885
Sn: 0.667 0.333 0.115
Sn: 0.667 0.333 0.385

***

# 3
Density functional theory data (PBE) for a relaxed structure of MgCuBiOs.

## Properties
Space-group type: F-43m, No. 216
Excess energy over the best structure of this formula in the dataset, meV/atom: 0.0
Spin magnetization, μB/atom: 0.0102

a = 6.584 Å, b = 6.584 Å, c = 6.584 Å
α = 90.00°, β = 90.00°, γ = 90.00°
Fractional positions:
Mg: 0.000 0.000 0.000
Mg: 0.000 0.500 0.500
Mg: 0.500 0.000 0.500
Mg: 0.500 0.500 0.000
Cu: 0.250 0.250 0.750
Cu: 0.250 0.750 0.250
Cu: 0.750 0.250 0.250
Cu: 0.750 0.750 0.750
Bi: 0.000 0.000 0.500
Bi: 0.000 0.500 0.000
Bi: 0.500 0.000 0.000
Bi: 0.500 0.500 0.500
Os: 0.250 0.250 0.250
Os: 0.250 0.750 0.750
Os: 0.750 0.250 0.750
Os: 0.750 0.750 0.250